! Nd6HRu2I3 | Alexandria | PBE-GGA | optimized geometry; values from VASP
&SYSTEM
  ibrav = 0, nat = 12, ntyp = 4
/
ATOMIC_SPECIES
Nd 144.24 Nd.upf
H 1.01 H.upf
Ru 101.07 Ru.upf
I 126.90 I.upf
ATOMIC_POSITIONS angstrom
Nd -0.014 2.060 6.660
Nd 1.158 0.000 1.508
Nd -0.014 -2.060 6.660
Nd 4.723 2.060 1.514
Nd 3.550 0.000 6.666
Nd 4.723 -2.060 1.514
H 3.536 0.000 0.000
Ru 3.536 4.084 0.000
Ru 3.536 -4.084 0.000
I -1.182 0.000 4.087
I 2.354 2.071 4.087
I 2.354 -2.071 4.087
CELL_PARAMETERS angstrom
3.536 -6.127 0.000
3.536 6.127 0.000
-2.363 0.000 8.174
! Calculated total energy: -5.27 eV/atom
! Total moment: 0.000 μB/atom
! Space group: C2/m, No. 12